Entry 1:
Computed, not measured: a relaxed Nd2DyEr4Tm crystal at the PBE level of DFT.

Results
Formation energy from the elements ... 0.0208 eV/atom
E_tot ... -36.69 eV per formula unit
Symmetry ... No. 10
Crystal system ... monoclinic

Cell lengths 7.106, 12.278, 14.187 Å; angles 149.93, 120.03, 54.67 degrees
Atoms (fractional coordinates):
Er1 0.497 0.003 0.250
Er2 0.997 0.503 0.750
Er3 0.497 0.503 0.750
Er4 0.503 0.497 0.250
Tm1 0.000 0.000 0.000
Nd1 0.500 0.500 0.000
Er5 0.503 0.997 0.750
Nd2 0.500 0.000 0.500
Tm2 0.500 0.500 0.500
Er6 0.003 0.497 0.250
Er7 0.003 0.997 0.750
Nd3 0.500 0.000 0.000
Dy1 0.000 0.500 0.000
Nd4 0.000 0.000 0.500
Er8 0.997 0.003 0.250
Dy2 0.000 0.500 0.500

***

Entry 2:
Computed, not measured: a relaxed Nd6DyEr2Tm3 crystal at the PBE level of DFT.

Results
Formation energy from the elements ... 0.0139 eV/atom
E_tot ... -55.58 eV per formula unit
Symmetry ... No. 12
Crystal system ... monoclinic

Cell lengths 6.242, 6.242, 11.762 Å; angles 95.06, 95.06, 119.99 degrees
Atoms (fractional coordinates):
Nd1 0.250 0.250 0.749
Nd2 0.084 0.417 0.251
Tm1 0.500 0.500 0.500
Er1 0.333 0.667 0.000
Dy1 0.000 0.000 0.000
Er2 0.667 0.333 0.000
Nd3 0.916 0.583 0.749
Tm2 0.833 0.167 0.500
Nd4 0.583 0.916 0.749
Nd5 0.417 0.084 0.251
Tm3 0.167 0.833 0.500
Nd6 0.750 0.750 0.251

***

Entry 3:
Computed, not measured: a relaxed Nd2Dy6ErTm3 crystal at the PBE level of DFT.

Results
Formation energy from the elements ... 0.0201 eV/atom
E_tot ... -54.89 eV per formula unit
Symmetry ... No. 12
Crystal system ... monoclinic

Cell lengths 6.142, 6.142, 11.755 Å; angles 94.98, 94.98, 119.96 degrees
Atoms (fractional coordinates):
Nd1 0.667 0.333 0.000
Dy1 0.753 0.753 0.254
Tm1 0.500 0.500 0.500
Tm2 0.834 0.166 0.500
Er1 0.000 0.000 0.000
Dy2 0.247 0.247 0.746
Dy3 0.417 0.085 0.254
Dy4 0.583 0.915 0.746
Dy5 0.915 0.583 0.746
Dy6 0.085 0.417 0.254
Nd2 0.333 0.667 0.000
Tm3 0.166 0.834 0.500

***

Copy entry 3 word for word.
Computed, not measured: a relaxed Nd2Dy6ErTm3 crystal at the PBE level of DFT.

Results
Formation energy from the elements ... 0.0201 eV/atom
E_tot ... -54.89 eV per formula unit
Symmetry ... No. 12
Crystal system ... monoclinic

Cell lengths 6.142, 6.142, 11.755 Å; angles 94.98, 94.98, 119.96 degrees
Atoms (fractional coordinates):
Nd1 0.667 0.333 0.000
Dy1 0.753 0.753 0.254
Tm1 0.500 0.500 0.500
Tm2 0.834 0.166 0.500
Er1 0.000 0.000 0.000
Dy2 0.247 0.247 0.746
Dy3 0.417 0.085 0.254
Dy4 0.583 0.915 0.746
Dy5 0.915 0.583 0.746
Dy6 0.085 0.417 0.254
Nd2 0.333 0.667 0.000
Tm3 0.166 0.834 0.500

***

What did the second record say?
Computed, not measured: a relaxed Nd6DyEr2Tm3 crystal at the PBE level of DFT.

Results
Formation energy from the elements ... 0.0139 eV/atom
E_tot ... -55.58 eV per formula unit
Symmetry ... No. 12
Crystal system ... monoclinic

Cell lengths 6.242, 6.242, 11.762 Å; angles 95.06, 95.06, 119.99 degrees
Atoms (fractional coordinates):
Nd1 0.250 0.250 0.749
Nd2 0.084 0.417 0.251
Tm1 0.500 0.500 0.500
Er1 0.333 0.667 0.000
Dy1 0.000 0.000 0.000
Er2 0.667 0.333 0.000
Nd3 0.916 0.583 0.749
Tm2 0.833 0.167 0.500
Nd4 0.583 0.916 0.749
Nd5 0.417 0.084 0.251
Tm3 0.167 0.833 0.500
Nd6 0.750 0.750 0.251

***

- Among the records above, which one has the lowest formation energy from the elements?
  Nd6DyEr2Tm3